1.
First-principles (SCAN) data for a crystal of BeInSe2 relaxed with PBEsol, as listed in Alexandria.

Summary:
Offset from the most stable computed form, meV/atom: 245
Formation energy (no corrections), eV/atom: -0.275
Size of the total moment, μB/atom: 0.0000

Lattice parameters (Å, degrees): 4.334 4.334 7.347 72.85 72.85 60.00
Positions (direct):
In (0.500, 0.500, 0.500)
Se (0.903, 0.903, 0.292)
Se (0.097, 0.097, 0.708)
Be (0.000, 0.000, 0.000)


2.
First-principles (SCAN) data for a crystal of BeInSe2 relaxed with PBEsol, as listed in Alexandria.

Summary:
Offset from the most stable computed form, meV/atom: 0
Formation energy (no corrections), eV/atom: -0.520
Size of the total moment, μB/atom: 0.0000

Lattice parameters (Å, degrees): 3.753 4.201 6.180 101.09 90.00 90.00
Positions (direct):
Se (0.500, 0.495, 0.329)
Se (0.000, 0.905, 0.821)
In (0.500, 0.418, 0.877)
Be (0.000, 0.682, 0.473)


3.
First-principles (SCAN) data for a crystal of BeInSi2 relaxed with PBEsol, as listed in Alexandria.

Summary:
Offset from the most stable computed form, meV/atom: 129
Formation energy (no corrections), eV/atom: 0.578
Size of the total moment, μB/atom: 0.0000

Lattice parameters (Å, degrees): 2.912 2.912 7.592 90.00 90.00 90.00
Positions (direct):
Si (0.000, 0.000, 0.177)
Si (0.000, 0.000, 0.823)
In (0.500, 0.500, 0.500)
Be (0.500, 0.500, 0.000)


4.
First-principles (SCAN) data for a crystal of Be2InSi relaxed with PBEsol, as listed in Alexandria.

Summary:
Formation energy (no corrections), eV/atom: 0.638
Size of the total moment, μB/atom: 0.0000

Lattice parameters (Å, degrees): 2.764 4.606 4.606 106.57 90.41 90.41
Positions (direct):
Be (0.000, 0.500, 0.000)
Be (0.000, 0.000, 0.500)
Si (0.500, 0.000, 0.000)
In (0.500, 0.500, 0.500)


Please write out number 2 again, unchanged.
First-principles (SCAN) data for a crystal of BeInSe2 relaxed with PBEsol, as listed in Alexandria.

Summary:
Offset from the most stable computed form, meV/atom: 0
Formation energy (no corrections), eV/atom: -0.520
Size of the total moment, μB/atom: 0.0000

Lattice parameters (Å, degrees): 3.753 4.201 6.180 101.09 90.00 90.00
Positions (direct):
Se (0.500, 0.495, 0.329)
Se (0.000, 0.905, 0.821)
In (0.500, 0.418, 0.877)
Be (0.000, 0.682, 0.473)


Question: What is the size of the total moment in the first record?
Answer: 0.0000 μB/atom


Question: Which value of size of the total moment does entry 2 give?
Answer: 0.0000 μB/atom